[1]
## Ca2NpF8 (GGA-PBE)

Data for a geometry-optimized Ca2NpF8 structure.

Results
ΔE to the lowest computed polymorph in meV/atom: 88
V in Å³ per atom: 12.090
Energy relative to the elements, uncorrected in eV per formula unit: -39.55
Space group: Immm (71)
Magnetization in μB/cell: 3.000

a = 3.7647 Å, b = 6.1562 Å, c = 6.7781 Å
α = 117.01°, β = 106.12°, γ = 90.00°
Closest atoms and distances in Å follow each position.
Sites, in units of the cell vectors:
F 0.0000 0.3001 0.0000  2 Ca 2.33, 3 F 2.37-2.46
F 0.3428 0.5805 0.6856  3 Ca 2.39-2.53, 1 Np 2.42, 4 F 2.50-2.62
Np 0.5000 0.0000 0.0000  12 F 2.39-2.64
F 0.1287 0.1287 0.2575  6 F 2.37-2.50, 2 Np 2.39
F 0.6572 0.4195 0.3144  3 Ca 2.39-2.53, 1 Np 2.42, 4 F 2.50-2.62
Ca 0.1729 0.6729 0.3457  8 F 2.33-2.53
F 0.8712 0.8713 0.7425  6 F 2.37-2.50, 2 Np 2.39
F 0.0000 0.6999 0.0000  2 Ca 2.33, 3 F 2.37-2.46
F 0.6572 0.8949 0.3144  3 Ca 2.39-2.53, 1 Np 2.42, 4 F 2.50-2.62
F 0.3428 0.1051 0.6856  3 Ca 2.39-2.53, 1 Np 2.42, 4 F 2.50-2.62
Ca 0.8271 0.3271 0.6543  8 F 2.33-2.53


[2]
## CaNpF5 (GGA-PBE)

Data for a geometry-optimized CaNpF5 structure.

Results
ΔE to the lowest computed polymorph in meV/atom: 0
V in Å³ per atom: 19.480
Energy relative to the elements, uncorrected in eV per formula unit: -24.98
Space group: C2/c (15)
Magnetization in μB/cell: 8.000

a = 6.0933 Å, b = 6.0933 Å, c = 8.5119 Å
α = 69.98°, β = 69.98°, γ = 72.34°
Closest atoms and distances in Å follow each position.
Sites, in units of the cell vectors:
F 0.1384 0.8616 0.7500  2 Np 2.35, 1 Ca 2.40
F 0.6735 0.2973 0.9507  1 Ca 2.27, 1 Np 2.30
F 0.8616 0.1384 0.2500  2 Np 2.35, 1 Ca 2.40
F 0.3265 0.7027 0.0493  1 Ca 2.27, 1 Np 2.30
F 0.7027 0.3265 0.5493  1 Ca 2.27, 1 Np 2.30
F 0.7812 0.7176 0.1345  1 Ca 2.22, 1 Np 2.25
Np 0.0000 0.0000 0.0000  6 F 2.25-2.35
F 0.2188 0.2824 0.8655  1 Ca 2.22, 1 Np 2.25
Ca 0.5285 0.4715 0.2500  5 F 2.22-2.40
F 0.2973 0.6735 0.4507  1 Ca 2.27, 1 Np 2.30
F 0.7176 0.7812 0.6345  1 Ca 2.22, 1 Np 2.25
Ca 0.4715 0.5285 0.7500  5 F 2.22-2.40
F 0.2824 0.2188 0.3655  1 Ca 2.22, 1 Np 2.25
Np 0.0000 0.0000 0.5000  6 F 2.25-2.35


[3]
## Ca2NpF8 (GGA-PBE)

Data for a geometry-optimized Ca2NpF8 structure.

Results
ΔE to the lowest computed polymorph in meV/atom: 0
V in Å³ per atom: 13.253
Energy relative to the elements, uncorrected in eV per formula unit: -40.52
Space group: C2/m (12)
Magnetization in μB/cell: 3.000

a = 3.9664 Å, b = 5.4622 Å, c = 7.3308 Å
α = 106.88°, β = 105.70°, γ = 90.00°
Closest atoms and distances in Å follow each position.
Sites, in units of the cell vectors:
F 0.2182 0.3127 0.4364  3 Ca 2.23-2.37
F 0.6564 0.9514 0.3129  1 Np 2.30, 3 Ca 2.43-2.56, 2 F 2.57
Ca 0.8094 0.3063 0.6188  5 F 2.23-2.47
F 0.4124 0.5994 0.8248  1 Np 2.16
Ca 0.1906 0.6937 0.3812  5 F 2.23-2.47
Np 0.5000 0.0000 0.0000  8 F 2.16-2.35
F 0.0357 0.8150 0.0713  2 Np 2.35, 1 Ca 2.47, 3 F 2.52-2.57
F 0.7818 0.6873 0.5636  3 Ca 2.23-2.37
F 0.9643 0.1850 0.9287  2 Np 2.35, 1 Ca 2.47, 3 F 2.52-2.57
F 0.5876 0.4006 0.1752  1 Np 2.16
F 0.3436 0.0486 0.6871  1 Np 2.30, 3 Ca 2.43-2.56, 2 F 2.57


[4]
## CaNpF5 (GGA-PBE)

Data for a geometry-optimized CaNpF5 structure.

Results
ΔE to the lowest computed polymorph in meV/atom: 6
V in Å³ per atom: 14.228
Energy relative to the elements, uncorrected in eV per formula unit: -24.94
Space group: C2/c (15)
Magnetization in μB/cell: 8.000

a = 4.9623 Å, b = 4.9623 Å, c = 8.1090 Å
α = 92.79°, β = 92.79°, γ = 89.17°
Closest atoms and distances in Å follow each position.
Sites, in units of the cell vectors:
F 0.2526 0.4000 0.4934  1 Ca 2.37, 2 Np 2.40-2.45
F 0.7474 0.6000 0.5066  1 Ca 2.37, 2 Np 2.40-2.45
Ca 0.0000 0.0000 0.5000  6 F 2.26-2.37
F 0.6306 0.0544 0.3303  1 Ca 2.26, 1 Np 2.42
F 0.3694 0.9456 0.6697  1 Ca 2.26, 1 Np 2.42
F 0.9456 0.3694 0.1697  1 Ca 2.26, 1 Np 2.42
F 0.4000 0.2526 0.9934  1 Ca 2.37, 2 Np 2.40-2.45
F 0.0544 0.6306 0.8303  1 Ca 2.26, 1 Np 2.42
Np 0.5019 0.4981 0.7500  7 F 2.38-2.45
F 0.6000 0.7474 0.0066  1 Ca 2.37, 2 Np 2.40-2.45
F 0.1570 0.8430 0.2500  2 Ca 2.30, 1 Np 2.38
F 0.8430 0.1570 0.7500  2 Ca 2.30, 1 Np 2.38
Np 0.4981 0.5019 0.2500  7 F 2.38-2.45
Ca 0.0000 0.0000 0.0000  6 F 2.26-2.37


[5]
## CaNp2F8 (GGA-PBE)

Data for a geometry-optimized CaNp2F8 structure.

Results
V in Å³ per atom: 12.997
Energy relative to the elements, uncorrected in eV per formula unit: -38.11
Space group: Immm (71)
Magnetization in μB/cell: 8.000

a = 3.8465 Å, b = 6.6197 Å, c = 6.7958 Å
α = 119.15°, β = 106.44°, γ = 90.00°
Closest atoms and distances in Å follow each position.
Sites, in units of the cell vectors:
F 0.8493 0.8493 0.6987  2 Ca 2.56, 8 F 2.60-2.67, 2 Np 2.69
Np 0.1820 0.6820 0.3640  8 F 2.39-2.54
F 0.0000 0.6882 0.0000  2 Np 2.39, 7 F 2.49-2.67
Ca 0.5000 0.0000 0.0000  12 F 2.55-2.82
F 0.3404 0.5662 0.6808  3 Np 2.45-2.54, 1 Ca 2.55, 5 F 2.60-2.65
Np 0.8180 0.3180 0.6360  8 F 2.39-2.54
F 0.6596 0.4338 0.3192  3 Np 2.45-2.54, 1 Ca 2.55, 5 F 2.60-2.65
F 0.0000 0.3118 0.0000  2 Np 2.39, 7 F 2.49-2.67
F 0.6596 0.8854 0.3192  3 Np 2.45-2.54, 1 Ca 2.55, 5 F 2.60-2.65
F 0.1507 0.1507 0.3013  2 Ca 2.56, 8 F 2.60-2.67, 2 Np 2.69
F 0.3404 0.1146 0.6808  3 Np 2.45-2.54, 1 Ca 2.55, 5 F 2.60-2.65


[6]
## Ca3NpO6F2 (GGA-PBE)

Data for a geometry-optimized Ca3NpO6F2 structure.

Results
V in Å³ per atom: 16.014
Energy relative to the elements, uncorrected in eV per formula unit: -34.40
Space group: C2/m (12)
Magnetization in μB/cell: 1.058

a = 4.7640 Å, b = 6.7577 Å, c = 6.8627 Å
α = 119.50°, β = 91.81°, γ = 90.00°
Closest atoms and distances in Å follow each position.
Sites, in units of the cell vectors:
Ca 0.5000 0.5000 0.5000  2 F 2.27, 4 O 2.31-2.40
F 0.2499 0.6671 0.3342  3 Ca 2.27-2.29
Ca 0.5000 0.0000 0.5000  2 F 2.27, 4 O 2.31-2.40
Ca 0.0000 0.5000 0.0000  2 F 2.29, 4 O 2.45
O 0.7214 0.2998 0.1456  1 Np 2.04
F 0.7501 0.3329 0.6658  3 Ca 2.27-2.29
O 0.2983 0.1427 0.2853  1 Np 1.99
O 0.2786 0.1543 0.8544  1 Np 2.04
Np 0.5000 0.0000 0.0000  6 O 1.99-2.04
O 0.7214 0.8457 0.1456  1 Np 2.04
O 0.2786 0.7002 0.8544  1 Np 2.04
O 0.7017 0.8573 0.7147  1 Np 1.99